An optimized crystal structure of ZnHg2Au, computed with PBE.

Cell lengths 4.5115, 4.5115, 6.0491 Å; angles 75.32, 75.32, 49.45 degrees
Element x y z (fractional)
Au (0.2383, 0.2383, 0.3006)
Zn (0.5096, 0.5096, 0.4536)
Hg (0.9942, 0.9942, 0.0241)
Hg (0.7579, 0.7579, 0.7217)

Calculated values
For the formation energy, the calculation gives 0.042 eV per atom. Its space group is Cm, No. 8. As for the total energy: -5.0 eV per cell.